(1)
Material: In3Sb2Pd7
Method: DFT, PBE-GGA
State: relaxed

total DFT energy (no corrections): -4.76 eV/atom
M_tot: 0.00 μB/f.u.
theoretical density: 9.47 g cm⁻³

Unit cell a=4.7684 b=4.8533 c=10.3839 alpha=103.51 beta=90.00 gamma=90.00
With the nearest neighbours (Å) after each atom.
Fractional coordinates of all 12 atoms:
Pd 0.0000 0.4260 0.8519  4 In 2.81-2.95, 2 Sb 2.83, 4 Pd 2.85-2.99
Pd 0.0000 0.0000 0.0000  8 Pd 2.85-2.86, 2 Sb 2.95
Pd 0.0000 0.5740 0.1481  4 In 2.81-2.95, 2 Sb 2.83, 4 Pd 2.85-2.99
Pd 0.0000 0.2820 0.5641  2 In 2.66, 3 Sb 2.75-2.83, 3 Pd 2.75-2.91
Pd 0.5000 0.9220 0.8439  2 Sb 2.75, 2 Pd 2.86, 4 In 2.89-2.93
Pd 0.5000 0.0780 0.1561  2 Sb 2.75, 2 Pd 2.86, 4 In 2.89-2.93
Pd 0.0000 0.7180 0.4359  2 In 2.66, 3 Sb 2.75-2.83, 3 Pd 2.75-2.91
Sb 0.0000 0.1461 0.2921  8 Pd 2.75-2.95
Sb 0.0000 0.8539 0.7079  8 Pd 2.75-2.95
In 0.5000 0.5000 0.0000  8 Pd 2.81-2.89
In 0.5000 0.6597 0.3194  6 Pd 2.66-2.95
In 0.5000 0.3403 0.6806  6 Pd 2.66-2.95

---

(2)
Material: RbPu2NpO8
Method: DFT, PBE-GGA
State: relaxed

total DFT energy (no corrections): -9.49 eV/atom
M_tot: 8.00 μB/f.u.
theoretical density: 7.64 g cm⁻³

Unit cell a=5.3394 b=5.3298 c=7.1964 alpha=87.25 beta=87.30 gamma=86.97
With the nearest neighbours (Å) after each atom.
Fractional coordinates of all 12 atoms:
Pu 0.5098 0.5098 0.2443  2 O 1.96-2.03
Pu 0.4902 0.4902 0.7557  2 O 1.96-2.03
O 0.2027 0.8144 0.8082  1 Np 1.98
O 0.6789 0.6810 0.0174  1 Pu 2.03
O 0.1834 0.7949 0.1922  1 Np 1.98
O 0.3211 0.3190 0.9826  1 Pu 2.03
O 0.8166 0.2051 0.8078  1 Np 1.98
O 0.7973 0.1856 0.1918  1 Np 1.98
O 0.3475 0.3445 0.4641  1 Pu 1.96
O 0.6525 0.6555 0.5359  1 Pu 1.96
Rb 0.0000 0.0000 0.5000  6 O 2.64-2.67
Np 0.0000 0.0000 0.0000  4 O 1.98

---

no.,E_form (uncorrected) (eV/atom)
1,-0.359
2,-2.633